(1)
Crystalline MgIn2 at its relaxed geometry. Source: Alexandria via LeMat-Bulk, functional PBE.

Computed properties:
- DOS(E_F) (states/eV per cell) = 4.44
- total magnetic moment (μB/f.u.) = 0.00
- ΔE_f (eV/atom) = 0.053

```
data_MgIn2
_cell_length_a 6.906
_cell_length_b 6.906
_cell_length_c 6.906
_cell_angle_alpha 90.00
_cell_angle_beta 90.00
_cell_angle_gamma 90.00
_space_group_name_H-M_alt 'F m -3 m'
_space_group_IT_number 225
_space_group_name_Hall '-F 4 2 3'
loop_
_atom_site_label
_atom_site_fract_x
_atom_site_fract_y
_atom_site_fract_z
Mg1 0.000 0.000 0.000
In1 0.250 0.250 0.250
```

---

(2)
Crystalline RbTb2PtO5 at its relaxed geometry. Source: Alexandria via LeMat-Bulk, functional PBE.

Computed properties:
- DOS(E_F) (states/eV per cell) = 16.85
- total magnetic moment (μB/f.u.) = 1.04
- formation energy from raw total energies (eV per atom) = -2.1232

```
data_RbTb2PtO5
_cell_length_a 6.645
_cell_length_b 6.645
_cell_length_c 12.104
_cell_angle_alpha 90.00
_cell_angle_beta 90.00
_cell_angle_gamma 90.00
_space_group_name_H-M_alt 'I 4/m c m'
_space_group_IT_number 140
_space_group_name_Hall '-I 4 2c'
loop_
_atom_site_label
_atom_site_fract_x
_atom_site_fract_y
_atom_site_fract_z
Rb1 0.000 0.000 0.250
Tb1 0.175 0.325 0.000
Pt1 0.000 0.500 0.250
O1 0.000 0.000 0.000
O2 0.129 0.371 0.386
```

---

Among the records above, which one has the lowest DOS(E_F)?
MgIn2

---

Look up the total magnetic moment of the first one.
0.00 μB/f.u.

---

What is the DOS(E_F) in the first record?
4.44 states/eV per cell